1.
## KZnS6 (GGA-PBE)

Data for a relaxed KZnS6 crystal.

Formation energy (no corrections) ... -182 meV/atom
DOS(E_F) ... 3.88 states/eV per cell
Symmetry ... P-1
V ... 246.2 Å³ per cell

```
8
Lattice="-7.821 -5.185 -5.349 4.096 2.805 -1.335 11.451 -0.029 8.333" Properties=species:S:1:pos:R:3 pbc="T T T"
S -3.837 -2.998 -4.522
S 5.656 -3.641 4.216
S -0.600 -2.945 -0.891
S 8.326 0.536 2.540
S 11.563 0.589 6.171
S 2.070 1.231 -2.567
K 3.863 -1.205 0.824
Zn 0.000 0.000 0.000
```

=====

2.
## CoB2Mo (GGA-PBE)

Data for a relaxed CoB2Mo crystal.

DOS(E_F) ... 4.57 states/eV per cell
Symmetry ... Fm-3m
Excess energy over the best structure of this formula in the dataset ... 57.4 kJ/mol of atoms
V ... 37.8 Å³ per cell
Energy of formation ... 0.245 eV per atom

```
4
Lattice="0.344 0.518 3.714 -2.943 -0.617 2.267 0.001 -2.964 2.322" Properties=species:S:1:pos:R:3 pbc="T T T"
Co 0.000 0.000 0.000
B -0.649 -0.766 2.076
B -1.948 -2.298 6.228
Mo -1.299 -1.532 4.152
```

=====

3.
## TcHgW2 (GGA-PBE)

Data for a relaxed TcHgW2 crystal.

DOS(E_F) ... 3.08 states/eV per cell
Symmetry ... R3m
V ... 68.1 Å³ per cell
Energy of formation ... 0.481 eV per atom

```
4
Lattice="-9.132 -0.458 -2.740 -9.010 -2.910 -1.212 -9.537 -0.399 0.123" Properties=species:S:1:pos:R:3 pbc="T T T"
W -7.052 -0.960 -0.976
W -0.108 -0.015 -0.015
Tc -20.575 -2.800 -2.847
Hg -13.784 -1.876 -1.907
```

=====

4.
## Rb12Tl3Au5 (GGA-PBE)

Data for a relaxed Rb12Tl3Au5 crystal.

DOS(E_F) ... 56.88 states/eV per cell
Symmetry ... Ia-3d
V ... 4811.3 Å³ per cell
Energy of formation ... -0.037 eV per atom

```
80
Lattice="18.420 0.000 0.000 -6.140 17.367 0.000 -6.140 -8.683 15.040" Properties=species:S:1:pos:R:3 pbc="T T T"
Rb 13.621 3.990 4.284
Rb 5.362 -2.113 4.908
Rb -1.341 10.047 6.206
Rb 5.994 2.871 8.818
Rb 3.216 -2.871 8.818
Rb -5.994 6.824 14.416
Rb -2.361 -0.009 12.428
Rb 6.849 2.267 13.742
Rb -0.709 6.417 1.298
Rb -4.799 14.740 1.922
Rb 2.361 -2.267 13.742
Rb -0.709 10.941 1.314
Rb -1.729 -4.693 10.756
Rb 6.849 -2.257 13.726
Rb -5.362 7.718 8.144
Rb 3.779 10.950 1.298
Rb 12.134 1.859 0.624
Rb -3.216 3.953 9.442
Rb 2.924 11.555 6.222
Rb 2.292 6.571 10.132
Rb 12.989 8.674 2.612
Rb 10.939 -6.056 13.118
Rb -0.778 1.148 3.236
Rb 8.501 8.693 2.612
Rb 2.361 2.257 13.726
Rb 8.432 9.648 8.144
Rb 7.869 13.376 4.284
Rb 9.356 15.507 0.624
Rb 7.481 -1.363 8.834
Rb 12.426 -3.953 9.442
Rb 0.778 10.796 10.132
Rb -6.286 12.636 5.598
Rb 9.356 4.731 5.598
Rb -2.292 -0.965 6.896
Rb -3.848 9.831 11.804
Rb -1.729 6.056 13.118
Rb 11.502 0.965 6.896
Rb 6.918 7.536 11.804
Rb -3.216 -6.824 14.416
Rb -6.849 0.009 12.428
Rb 3.848 2.113 4.908
Rb 0.146 5.812 6.222
Rb 1.729 1.363 8.834
Rb -7.481 4.693 10.756
Rb 9.988 -1.148 3.236
Rb 7.869 2.627 1.922
Rb 3.779 6.426 1.314
Rb 4.411 7.320 6.206
Au 0.000 0.000 0.000
Au -3.070 8.683 0.000
Au -4.605 9.769 5.640
Au 1.535 -4.342 11.280
Au 7.675 -5.427 13.160
Au 7.675 7.598 5.640
Au 1.535 5.427 13.160
Au -1.535 4.342 3.760
Au 9.210 0.000 0.000
Au 10.745 -1.085 9.400
Au 7.675 4.342 11.280
Au -1.535 1.085 9.400
Au -6.140 4.342 7.520
Au 4.605 3.256 1.880
Au 3.070 4.342 7.520
Au -3.070 -4.342 7.520
Au 4.605 13.025 3.760
Au -1.535 14.110 1.880
Au 6.140 -4.342 7.520
Au 6.140 8.683 0.000
Tl 10.745 5.427 1.880
Tl -1.535 7.598 9.400
Tl 7.675 1.085 5.640
Tl 4.605 0.000 11.280
Tl -4.605 3.256 13.160
Tl -4.605 -3.256 13.160
Tl -7.675 8.683 11.280
Tl 10.745 11.940 1.880
Tl 13.815 0.000 3.760
Tl 4.605 9.769 9.400
Tl 1.535 -1.085 5.640
Tl 1.535 8.683 3.760
```

=====

5.
## CuReOs2 (GGA-PBE)

Data for a relaxed CuReOs2 crystal.

DOS(E_F) ... 3.16 states/eV per cell
Symmetry ... P4mm
Excess energy over the best structure of this formula in the dataset ... 8.4 kJ/mol of atoms
V ... 56.0 Å³ per cell
Energy of formation ... 0.267 eV per atom

```
4
Lattice="2.732 0.000 0.000 0.000 2.732 0.000 0.000 0.000 7.504" Properties=species:S:1:pos:R:3 pbc="T T T"
Os 0.000 0.000 7.480
Os 1.366 1.366 1.837
Re 0.000 0.000 3.800
Cu 1.366 1.366 5.643
```

=====

6.
## Pr2MgN (GGA-PBE)

Data for a relaxed Pr2MgN crystal.

Formation energy (no corrections) ... -485 meV/atom
DOS(E_F) ... 2.55 states/eV per cell
Symmetry ... R-3m
Excess energy over the best structure of this formula in the dataset ... 13.1 kJ/mol of atoms
V ... 108.2 Å³ per cell

```
4
Lattice="3.583 0.000 0.000 1.791 3.103 0.000 1.791 1.034 9.730" Properties=species:S:1:pos:R:3 pbc="T T T"
Mg 0.000 0.000 0.000
N 3.583 2.069 4.865
Pr 1.791 1.034 6.269
Pr 5.374 3.103 3.462
```

=====

7.
## BeCuPb2 (GGA-PBE)

Data for a relaxed BeCuPb2 crystal.

DOS(E_F) ... 1.41 states/eV per cell
Symmetry ... Pmm2
V ... 85.7 Å³ per cell
Energy of formation ... 0.265 eV per atom

```
4
Lattice="-0.381 3.033 1.070 -2.788 0.167 -1.468 -3.801 -2.907 6.889" Properties=species:S:1:pos:R:3 pbc="T T T"
Pb -3.497 -2.675 6.339
Pb -2.838 0.641 2.072
Cu -4.133 -0.350 4.420
Be -2.203 -1.685 3.992
```

=====

8.
## RbHg5Sb2 (GGA-PBE)

Data for a relaxed RbHg5Sb2 crystal.

Formation energy (no corrections) ... -50 meV/atom
DOS(E_F) ... 1.56 states/eV per cell
Symmetry ... P-1
V ... 250.5 Å³ per cell

```
8
Lattice="-2.806 -2.777 5.570 -3.673 -1.553 -2.653 8.640 -2.903 -5.323" Properties=species:S:1:pos:R:3 pbc="T T T"
Hg 0.000 0.000 0.000
Hg 0.683 -3.428 1.474
Hg 1.478 -3.805 -3.880
Hg -0.889 -2.860 -1.458
Hg 3.050 -4.373 -0.948
Sb 1.784 -1.481 -1.761
Sb 0.377 -5.752 -0.644
Rb -3.240 -2.165 1.459
```

=====

9.
## BaFe3C (GGA-PBE)

Data for a relaxed BaFe3C crystal.

DOS(E_F) ... 9.13 states/eV per cell
Symmetry ... Pm-3m
Excess energy over the best structure of this formula in the dataset ... 268.6 kJ/mol of atoms
V ... 117.7 Å³ per cell
Energy of formation ... 3.571 eV per atom

```
5
Lattice="4.901 0.000 0.000 0.000 4.901 0.000 0.000 0.000 4.901" Properties=species:S:1:pos:R:3 pbc="T T T"
Fe 2.451 0.000 0.000
Fe 0.000 0.000 2.451
Fe 0.000 2.451 0.000
Ba 0.000 0.000 0.000
C 2.451 2.451 2.451
```

=====

10.
## Li2PbSeO (GGA-PBE)

Data for a relaxed Li2PbSeO crystal.

Formation energy (no corrections) ... -1149 meV/atom
DOS(E_F) ... 0.22 states/eV per cell
Symmetry ... P4/mmm
V ... 90.6 Å³ per cell

```
5
Lattice="-2.659 0.519 -3.268 -2.119 -3.487 1.169 -3.012 2.801 2.895" Properties=species:S:1:pos:R:3 pbc="T T T"
Li -1.059 -1.744 0.585
Li -1.329 0.260 -1.634
Pb -1.506 1.400 1.448
O 0.000 0.000 0.000
Se -3.895 -0.083 0.398
```

=====

11.
## KZnPb2 (GGA-PBE)

Data for a relaxed KZnPb2 crystal.

DOS(E_F) ... 0.98 states/eV per cell
Symmetry ... P2/m
Excess energy over the best structure of this formula in the dataset ... 0.0 kJ/mol of atoms
V ... 135.3 Å³ per cell
Energy of formation ... -0.036 eV per atom

```
4
Lattice="4.589 0.000 0.000 0.000 4.150 0.036 0.000 1.981 7.122" Properties=species:S:1:pos:R:3 pbc="T T T"
Zn 2.294 1.533 1.789
Pb 0.000 0.436 0.544
Pb 0.000 2.629 3.035
K 2.294 4.598 5.368
```

=====

12.
## Pm7Pb2C (GGA-PBE)

Data for a relaxed Pm7Pb2C crystal.

DOS(E_F) ... 8.32 states/eV per cell
Symmetry ... Fm-3m
V ... 294.8 Å³ per cell
Energy of formation ... 0.098 eV per atom

```
10
Lattice="7.470 0.000 0.000 3.735 6.469 0.000 3.735 2.156 6.100" Properties=species:S:1:pos:R:3 pbc="T T T"
Pm 5.470 5.468 1.417
Pm 7.470 4.313 3.050
Pm 7.470 2.003 1.417
Pm 9.471 5.468 1.417
Pm 9.471 3.158 4.683
Pm 7.470 6.623 4.683
Pm 5.470 3.158 4.683
C 0.000 0.000 0.000
Pb 11.205 6.469 4.575
Pb 3.735 2.156 1.525
```

=====

13.
## Pm2SmAg2 (GGA-PBE)

Data for a relaxed Pm2SmAg2 crystal.

DOS(E_F) ... 9.42 states/eV per cell
Symmetry ... Cmcm
Excess energy over the best structure of this formula in the dataset ... 0.0 kJ/mol of atoms
V ... 275.5 Å³ per cell
Energy of formation ... -0.198 eV per atom

```
10
Lattice="3.697 0.000 -0.494 0.000 5.377 0.000 -0.021 0.000 13.860" Properties=species:S:1:pos:R:3 pbc="T T T"
Pm 2.817 1.344 6.981
Pm 0.860 4.033 6.385
Pm 3.504 1.344 12.067
Pm 0.173 4.033 1.299
Sm 0.530 1.344 3.950
Sm 3.147 4.033 9.415
Ag 2.369 4.033 3.616
Ag 1.308 1.344 9.750
Ag 2.022 1.344 1.056
Ag 1.655 4.033 12.310
```

=====

14.
## PrNd3Th4Se8 (GGA-PBE)

Data for a relaxed PrNd3Th4Se8 crystal.

Formation energy (no corrections) ... -1685 meV/atom
DOS(E_F) ... 5.75 states/eV per cell
Symmetry ... R-3m
V ... 424.5 Å³ per cell

```
16
Lattice="-3.684 -0.018 7.511 6.574 -4.339 3.215 1.394 7.234 -3.958" Properties=species:S:1:pos:R:3 pbc="T T T"
Th -1.842 -0.009 3.755
Th -1.145 3.608 1.776
Th 0.697 3.617 -1.979
Th 0.000 0.000 0.000
Se 1.427 2.528 0.706
Se -0.420 2.511 4.459
Se 4.704 0.367 2.308
Se 3.563 3.962 4.078
Se 0.721 -1.085 2.689
Se -1.114 -1.094 6.431
Se 5.398 3.971 0.336
Se 2.857 0.349 6.061
Nd 1.445 -2.179 5.363
Nd 2.142 1.439 3.384
Nd 3.984 1.448 -0.372
Pr 3.287 -2.170 1.607
```

=====

15.
## BaBe2Si (GGA-PBE)

Data for a relaxed BaBe2Si crystal.

Formation energy (no corrections) ... 119 meV/atom
DOS(E_F) ... 2.32 states/eV per cell
Symmetry ... Pmmm
V ... 89.7 Å³ per cell

```
4
Lattice="3.890 0.000 0.000 0.000 4.504 -0.010 0.000 0.013 5.122" Properties=species:S:1:pos:R:3 pbc="T T T"
Be 0.000 2.234 1.275
Be 0.000 0.024 1.281
Si 1.945 1.129 1.278
Ba 1.945 3.388 3.834
```

=====

16.
## DyHfMgRe (GGA-PBE)

Data for a relaxed DyHfMgRe crystal.

DOS(E_F) ... 3.79 states/eV per cell
Symmetry ... F-43m
V ... 81.8 Å³ per cell
Energy of formation ... 0.020 eV per atom

```
4
Lattice="4.872 0.000 0.000 2.436 4.219 0.000 2.436 1.406 3.978" Properties=species:S:1:pos:R:3 pbc="T T T"
Mg 0.000 0.000 0.000
Dy 2.436 1.406 0.995
Re 4.872 2.813 1.989
Hf 7.308 4.219 2.984
```

=====

17.
## CsZrI3 (GGA-PBE)

Data for a relaxed CsZrI3 crystal.

Formation energy (no corrections) ... -529 meV/atom
DOS(E_F) ... 4.23 states/eV per cell
Symmetry ... Cmcm
Excess energy over the best structure of this formula in the dataset ... 49.1 kJ/mol of atoms
V ... 632.4 Å³ per cell

```
10
Lattice="6.106 -8.455 0.000 6.106 8.455 0.000 0.000 0.000 6.124" Properties=species:S:1:pos:R:3 pbc="T T T"
Zr 6.106 0.376 1.531
Zr 6.106 -0.376 4.593
I 3.816 1.971 1.531
I 3.816 -1.971 4.593
I 8.396 -1.971 4.593
I 8.396 1.971 1.531
I 0.000 0.000 3.062
I 0.000 0.000 0.000
Cs 6.106 -5.139 4.593
Cs 6.106 5.139 1.531
```

=====

18.
## La2HfB (GGA-PBE)

Data for a relaxed La2HfB crystal.

DOS(E_F) ... 6.79 states/eV per cell
Symmetry ... I-42d
V ... 224.0 Å³ per cell
Energy of formation ... 0.333 eV per atom

```
8
Lattice="9.832 0.000 0.000 0.000 9.832 0.000 4.916 4.916 2.318" Properties=species:S:1:pos:R:3 pbc="T T T"
La 12.290 10.883 1.738
La 5.967 2.458 0.579
La 7.374 8.781 1.738
La 3.865 7.374 0.579
B 4.916 9.832 1.159
B 4.916 4.916 0.000
Hf 9.832 4.916 1.159
Hf 0.000 0.000 0.000
```

=====

19.
## Nd2Al3Cu2 (GGA-PBE)

Data for a relaxed Nd2Al3Cu2 crystal.

DOS(E_F) ... 3.85 states/eV per cell
Symmetry ... C2/m
V ... 141.0 Å³ per cell
Energy of formation ... -0.386 eV per atom

```
7
Lattice="-0.152 3.599 -2.042 -4.421 -0.429 3.773 6.656 1.706 2.510" Properties=species:S:1:pos:R:3 pbc="T T T"
Al 1.465 2.949 0.890
Al 0.618 1.927 3.350
Al -0.076 1.800 -1.021
Nd -1.872 3.206 1.592
Nd 3.956 1.670 2.648
Cu 2.003 4.153 2.972
Cu 0.080 0.723 1.269
```

=====

20.
## Sr2Tl2OsO6 (GGA-PBE)

Data for a relaxed Sr2Tl2OsO6 crystal.

Formation energy (no corrections) ... -1574 meV/atom
DOS(E_F) ... 5.39 states/eV per cell
Symmetry ... C2/m
V ... 205.0 Å³ per cell

```
11
Lattice="-1.447 -3.741 -4.588 -0.399 -2.025 5.734 -5.538 3.432 -0.008" Properties=species:S:1:pos:R:3 pbc="T T T"
O -3.220 -3.353 2.330
O -2.071 -0.136 0.233
O -3.503 -3.817 -0.456
O -3.881 1.483 1.593
O -5.313 -2.197 0.905
O -4.164 1.020 -1.192
Os -2.769 1.716 -0.004
Tl -1.279 -3.466 -2.937
Tl -0.566 -2.299 4.082
Sr -3.521 -0.886 2.255
Sr -3.863 -1.447 -1.117
```